# 1
# PBE-GGA KZnAu2, relaxed
# - Crystal system: monoclinic
# - ΔH_f (0 K): -0.25 eV/atom
# - V: 111.9 Å³ per cell
# - Magnetic moment: 0.0 μB/cell
data_KZnAu2
_chemical_formula_sum 'K1 Zn1 Au2'
_cell_length_a 4.6930
_cell_length_b 4.6930
_cell_length_c 6.3697
_cell_angle_alpha 109.49
_cell_angle_beta 109.49
_cell_angle_gamma 59.80
_symmetry_space_group_name_H-M 'P 1'
_symmetry_Int_Tables_number 1
loop_
_symmetry_equiv_pos_as_xyz
'x,y,z'
loop_
_atom_site_label
_atom_site_fract_x
_atom_site_fract_y
_atom_site_fract_z
_atom_site_occupancy
K1 0.0000 0.0000 0.0000 1
Zn1 0.1901 0.1901 0.5424 1
Au1 0.5170 0.5170 0.5228 1
Au2 0.8276 0.8276 0.4499 1

# 2
# PBE-GGA Ce4SbH4, relaxed
# - Crystal system: tetragonal
# - Total DFT energy (no corrections): -45.60 eV for the cell shown
# - V: 153.6 Å³ per cell
# - Magnetic moment: 3.4 μB/cell
data_Ce4SbH4
_chemical_formula_sum 'Ce4 Sb1 H4'
_cell_length_a 6.2035
_cell_length_b 6.2035
_cell_length_c 6.2035
_cell_angle_alpha 98.04
_cell_angle_beta 98.04
_cell_angle_gamma 136.09
_symmetry_space_group_name_H-M 'P 1'
_symmetry_Int_Tables_number 1
loop_
_symmetry_equiv_pos_as_xyz
'x,y,z'
loop_
_atom_site_label
_atom_site_fract_x
_atom_site_fract_y
_atom_site_fract_z
_atom_site_occupancy
Ce1 0.1043 0.7093 0.8136 1
Ce2 0.2907 0.1043 0.3950 1
Ce3 0.7093 0.8957 0.6050 1
Ce4 0.8957 0.2907 0.1864 1
Sb1 0.5000 0.5000 0.0000 1
H1 0.1569 0.3811 0.5380 1
H2 0.3811 0.8431 0.2243 1
H3 0.6189 0.1569 0.7757 1
H4 0.8431 0.6189 0.4620 1

# 3
# PBE-GGA Li2TlSb, relaxed
# - ΔE_f (raw): -171 meV/atom
# - Crystal system: trigonal
# - V: 93.7 Å³ per cell
# - Magnetic moment: 0.0 μB/cell
data_Li2TlSb
_chemical_formula_sum 'Li2 Tl1 Sb1'
_cell_length_a 7.5832
_cell_length_b 7.5832
_cell_length_c 7.5832
_cell_angle_alpha 29.51
_cell_angle_beta 29.51
_cell_angle_gamma 29.51
_symmetry_space_group_name_H-M 'P 1'
_symmetry_Int_Tables_number 1
loop_
_symmetry_equiv_pos_as_xyz
'x,y,z'
loop_
_atom_site_label
_atom_site_fract_x
_atom_site_fract_y
_atom_site_fract_z
_atom_site_occupancy
Li1 0.0000 0.0000 0.0000 1
Li2 0.1825 0.1825 0.1825 1
Tl1 0.7563 0.7563 0.7563 1
Sb1 0.5928 0.5928 0.5928 1

# 4
# PBE-GGA LaPr3Nd8, relaxed
# - Crystal system: triclinic
# - ΔH_f (0 K): 0.03 eV/atom
# - V: 431.0 Å³ per cell
# - Magnetic moment: 0.0 μB/cell
data_LaPr3Nd8
_chemical_formula_sum 'La1 Pr3 Nd8'
_cell_length_a 3.6696
_cell_length_b 10.0198
_cell_length_c 11.8808
_cell_angle_alpha 93.15
_cell_angle_beta 98.86
_cell_angle_gamma 90.01
_symmetry_space_group_name_H-M 'P 1'
_symmetry_Int_Tables_number 1
loop_
_symmetry_equiv_pos_as_xyz
'x,y,z'
loop_
_atom_site_label
_atom_site_fract_x
_atom_site_fract_y
_atom_site_fract_z
_atom_site_occupancy
La1 0.0000 0.0000 0.0000 1
Pr1 0.2551 0.3256 0.5103 1
Pr2 0.3702 0.8388 0.7396 1
Pr3 0.6262 0.1648 0.2510 1
Nd1 0.1149 0.4844 0.2322 1
Nd2 0.1358 0.8382 0.2684 1
Nd3 0.4905 0.3270 0.9834 1
Nd4 0.5108 0.6806 0.0183 1
Nd5 0.7421 0.6485 0.4856 1
Nd6 0.7539 0.9976 0.5030 1
Nd7 0.8722 0.1677 0.7483 1
Nd8 0.8837 0.5162 0.7653 1